Record 1
# DyYRh2 (PBE-GGA, optimized geometry)
data_DyYRh2
_chemical_formula_sum 'Dy1 Y1 Rh2'
_cell_length_a 4.788
_cell_length_b 4.788
_cell_length_c 3.524
_cell_angle_alpha 90.00
_cell_angle_beta 90.00
_cell_angle_gamma 90.00
_space_group_name_H-M_alt 'P 4/m m m'
_space_group_IT_number 123
_space_group_name_Hall '-P 4 2'
loop_
_atom_site_label
_atom_site_type_symbol
_atom_site_fract_x
_atom_site_fract_y
_atom_site_fract_z
_atom_site_occupancy
Dy1 Dy 0.000 0.000 0.000 1
Y1 Y 0.500 0.500 0.000 1
Rh1 Rh 0.000 0.500 0.500 1
# Electronic total energy (eV/atom): -7.30
# Excess energy over the best structure of this formula in the dataset (eV/atom): 0.003
# E_form (eV/atom): -0.858
# Crystal system: tetragonal
# Calculated density (Mg/m³): 9.397
# Magnetic moment (μB/atom): 0.000



Record 2
# Ta2TcOs (PBE-GGA, optimized geometry)
data_Ta2TcOs
_chemical_formula_sum 'Ta2 Tc1 Os1'
_cell_length_a 3.186
_cell_length_b 4.358
_cell_length_c 4.676
_cell_angle_alpha 90.00
_cell_angle_beta 90.00
_cell_angle_gamma 90.00
_space_group_name_H-M_alt 'P m m m'
_space_group_IT_number 47
loop_
_space_group_symop_operation_xyz
'x,y,z'
'-x,-y,-z'
'-x,-y,z'
'x,y,-z'
'x,-y,-z'
'-x,y,z'
'-x,y,-z'
'x,-y,z'
loop_
_atom_site_label
_atom_site_type_symbol
_atom_site_fract_x
_atom_site_fract_y
_atom_site_fract_z
_atom_site_occupancy
Ta1 Ta 0.000 0.000 0.000 1
Ta2 Ta 0.500 0.000 0.500 1
Tc1 Tc 0.000 0.500 0.500 1
Os1 Os 0.500 0.500 0.000 1
# Electronic total energy (eV/atom): -11.46
# E_form (eV/atom): -0.136
# Crystal system: orthorhombic
# Calculated density (Mg/m³): 16.626
# Magnetic moment (μB/atom): 0.000



Record 3
# ScNiPt3 (PBE-GGA, optimized geometry)
data_ScNiPt3
_chemical_formula_sum 'Sc1 Ni1 Pt3'
_cell_length_a 4.564
_cell_length_b 4.564
_cell_length_c 4.564
_cell_angle_alpha 90.00
_cell_angle_beta 90.00
_cell_angle_gamma 90.00
_space_group_name_H-M_alt 'P m -3 m'
_space_group_IT_number 221
_space_group_name_Hall '-P 4 2 3'
loop_
_atom_site_label
_atom_site_type_symbol
_atom_site_fract_x
_atom_site_fract_y
_atom_site_fract_z
_atom_site_occupancy
Sc1 Sc 0.000 0.000 0.000 1
Ni1 Ni 0.500 0.500 0.500 1
Pt1 Pt 0.000 0.500 0.500 1
# Electronic total energy (eV/atom): -5.85
# Excess energy over the best structure of this formula in the dataset (eV/atom): 0.875
# E_form (eV/atom): 0.197
# Crystal system: cubic
# Calculated density (Mg/m³): 12.037
# Magnetic moment (μB/atom): 0.128